Cs2Cd2Mo3O12: relaxed, PBE+U.

Values from the calculation:
The calculation puts the magnetic moment at 0.00 Bohr magnetons per cell. The value obtained for the raw total energy is -6.088 eV/atom. The density of states at the Fermi level comes out at 0.00 states/eV per cell.

Lattice parameters (Å, degrees): 11.586 11.586 11.586 90.00 90.00 90.00
Atoms (fractional coordinates):
Cs (0.427, 0.927, 0.573)
Cs (0.927, 0.573, 0.427)
Cs (0.573, 0.427, 0.927)
Cs (0.073, 0.073, 0.073)
Cs (0.198, 0.698, 0.802)
Cs (0.698, 0.802, 0.198)
Cs (0.802, 0.198, 0.698)
Cs (0.302, 0.302, 0.302)
Cd (0.913, 0.413, 0.087)
Cd (0.413, 0.087, 0.913)
Cd (0.087, 0.913, 0.413)
Cd (0.587, 0.587, 0.587)
Cd (0.643, 0.143, 0.357)
Cd (0.143, 0.357, 0.643)
Cd (0.357, 0.643, 0.143)
Cd (0.857, 0.857, 0.857)
Mo (0.225, 0.373, 0.958)
Mo (0.042, 0.725, 0.127)
Mo (0.873, 0.542, 0.775)
Mo (0.725, 0.127, 0.042)
Mo (0.542, 0.775, 0.873)
Mo (0.373, 0.958, 0.225)
Mo (0.775, 0.873, 0.542)
Mo (0.958, 0.225, 0.373)
Mo (0.127, 0.042, 0.725)
Mo (0.275, 0.627, 0.458)
Mo (0.458, 0.275, 0.627)
Mo (0.627, 0.458, 0.275)
O (0.080, 0.349, 0.006)
O (0.994, 0.580, 0.151)
O (0.849, 0.494, 0.920)
O (0.580, 0.151, 0.994)
O (0.494, 0.920, 0.849)
O (0.349, 0.006, 0.080)
O (0.920, 0.849, 0.494)
O (0.006, 0.080, 0.349)
O (0.151, 0.994, 0.580)
O (0.420, 0.651, 0.506)
O (0.506, 0.420, 0.651)
O (0.651, 0.506, 0.420)
O (0.300, 0.238, 0.975)
O (0.025, 0.800, 0.262)
O (0.738, 0.525, 0.700)
O (0.800, 0.262, 0.025)
O (0.525, 0.700, 0.738)
O (0.238, 0.975, 0.300)
O (0.700, 0.738, 0.525)
O (0.975, 0.300, 0.238)
O (0.262, 0.025, 0.800)
O (0.200, 0.762, 0.475)
O (0.475, 0.200, 0.762)
O (0.762, 0.475, 0.200)
O (0.228, 0.423, 0.811)
O (0.189, 0.728, 0.077)
O (0.923, 0.689, 0.772)
O (0.728, 0.077, 0.189)
O (0.689, 0.772, 0.923)
O (0.423, 0.811, 0.228)
O (0.772, 0.923, 0.689)
O (0.811, 0.228, 0.423)
O (0.077, 0.189, 0.728)
O (0.272, 0.577, 0.311)
O (0.311, 0.272, 0.577)
O (0.577, 0.311, 0.272)
O (0.299, 0.476, 0.047)
O (0.953, 0.799, 0.024)
O (0.976, 0.453, 0.701)
O (0.799, 0.024, 0.953)
O (0.453, 0.701, 0.976)
O (0.476, 0.047, 0.299)
O (0.701, 0.976, 0.453)
O (0.047, 0.299, 0.476)
O (0.024, 0.953, 0.799)
O (0.201, 0.524, 0.547)
O (0.547, 0.201, 0.524)
O (0.524, 0.547, 0.201)